Entry from Alexandria: an optimized crystal structure of CoSiP2 (GGA-PBE).

Its total DFT energy (no corrections) is -5.7075 eV per atom. Its space-group type is No. 44. As for the magnetization: 0.00 μB/cell. For the formation energy (no corrections), the calculation gives 0.130 eV/atom. As for the density of states at the Fermi level: 2.5 states/eV per cell.

Cell: 5.9032 5.9032 5.9032 Å, 153.21 144.29 45.20°
Fractional positions:
Co1 0.0000 0.0000 0.0000
Si1 0.7881 0.2881 0.5000
P1 0.1690 0.6690 0.5000
P2 0.4441 0.4441 0.0000